Entry 1:
The following is a DFT calculation (GGA-PBE) of a relaxed GeAsSe2S crystal.

distance to the lowest polymorph of the same formula: 0.0 meV/atom
energy relative to the elements, uncorrected: 0.5975 eV/atom

a b c (Å): 4.852 4.852 4.858
angles (deg): 90.00 90.00 90.00
Fractional coordinates of all 5 atoms:
1 S 0.000 0.000 0.000
2 As 0.000 0.000 0.500
3 Ge 0.500 0.500 0.500
4 Se 0.000 0.500 0.000
5 Se 0.500 0.000 0.000

Entry 2:
The following is a DFT calculation (GGA-PBE) of a relaxed SrPAu2 crystal.

formation enthalpy at 0 K: -656 meV per atom

a b c (Å): 5.755 5.755 4.417
angles (deg): 67.62 67.62 45.15
Fractional coordinates of all 4 atoms:
1 Sr 0.687 0.687 0.688
2 Au 0.041 0.041 0.333
3 Au 0.334 0.334 0.041
4 P 0.438 0.438 0.438

Entry 3:
The following is a DFT calculation (GGA-PBE) of a relaxed Ce14Pu3Pd6 crystal.

formation enthalpy at 0 K: -305 meV per atom

a b c (Å): 6.447 10.125 10.124
angles (deg): 120.00 90.00 90.00
Fractional coordinates of all 23 atoms:
1 Ce 0.993 0.121 0.241
2 Ce 0.993 0.759 0.880
3 Ce 0.993 0.120 0.879
4 Ce 0.500 0.185 0.371
5 Ce 0.500 0.629 0.815
6 Ce 0.500 0.185 0.815
7 Ce 0.428 0.000 0.000
8 Ce 0.956 0.333 0.667
9 Ce 0.745 0.809 0.192
10 Ce 0.745 0.808 0.617
11 Ce 0.745 0.383 0.191
12 Ce 0.188 0.532 0.468
13 Ce 0.188 0.532 0.065
14 Ce 0.188 0.935 0.468
15 Pu 0.803 0.000 0.000
16 Pu 0.357 0.333 0.667
17 Pu 0.557 0.667 0.333
18 Pd 0.281 0.837 0.163
19 Pd 0.281 0.837 0.674
20 Pd 0.281 0.326 0.163
21 Pd 0.707 0.481 0.519
22 Pd 0.707 0.481 0.963
23 Pd 0.707 0.037 0.519